Density functional theory data (PBE-GGA) for crystalline CePrRhAu at its relaxed geometry.

Computed properties:
- E above lowest polymorph (meV per atom) = 0
- space-group type = Amm2
- total energy (eV for the cell shown) = -48.51
- magnetization (Bohr magnetons per cell) = 0.44
- density of states at the Fermi level (states/eV/cell) = 10.4

a = 4.127 Å, b = 3.962 Å, c = 12.209 Å
α = 90.00°, β = 90.00°, γ = 90.00°
Fractional positions:
Ce (0.000, 0.000, 0.000)
Ce (0.000, 0.500, 0.500)
Pr (0.500, 0.000, 0.280)
Pr (0.500, 0.500, 0.780)
Rh (0.500, 0.000, 0.525)
Rh (0.500, 0.500, 0.025)
Au (0.000, 0.000, 0.700)
Au (0.000, 0.500, 0.200)